Entry 1:
! PBE-GGA ZnCr2Ir, optimized geometry; values from VASP
&SYSTEM
  ibrav = 0, nat = 4, ntyp = 3
/
ATOMIC_SPECIES
Zn 65.41 Zn.upf
Cr 52.00 Cr.upf
Ir 192.22 Ir.upf
ATOMIC_POSITIONS crystal
Zn 0.0000 0.0000 0.0000
Cr 0.5000 0.0000 0.5161
Cr 0.5000 0.5000 0.8212
Ir 0.0000 0.5000 0.3290
CELL_PARAMETERS angstrom
2.6488 0.0000 0.0000
0.0000 4.1987 0.0000
0.0000 0.0000 4.6539
! Space-group type   No. 25
! DFT formation energy   0.019 eV/atom

---

Entry 2:
! PBE-GGA Zn3CrIr, optimized geometry; values from VASP
&SYSTEM
  ibrav = 0, nat = 5, ntyp = 3
/
ATOMIC_SPECIES
Zn 65.41 Zn.upf
Cr 52.00 Cr.upf
Ir 192.22 Ir.upf
ATOMIC_POSITIONS crystal
Zn 0.0000 0.0000 0.5000
Zn 0.0000 0.5000 0.0000
Zn 0.5000 0.0000 0.0000
Cr 0.5000 0.5000 0.5000
Ir 0.0000 0.0000 0.0000
CELL_PARAMETERS angstrom
4.7609 0.0000 0.0000
0.0000 4.7609 0.0000
0.0000 0.0000 4.7609
! Distance to the lowest polymorph of the same formula   0.0 meV/atom
! Space-group type   No. 221
! DFT formation energy   0.549 eV/atom

---

Entry 3:
! PBE-GGA ZnCrIr2, optimized geometry; values from VASP
&SYSTEM
  ibrav = 0, nat = 4, ntyp = 3
/
ATOMIC_SPECIES
Zn 65.41 Zn.upf
Cr 52.00 Cr.upf
Ir 192.22 Ir.upf
ATOMIC_POSITIONS crystal
Zn 0.0000 0.0000 0.0000
Cr 0.5000 0.5000 0.7527
Ir 0.0000 0.0000 0.5195
Ir 0.5000 0.5000 0.2483
CELL_PARAMETERS angstrom
1.3818 -2.2912 0.0000
1.3818 2.2912 0.0000
0.0000 0.0000 8.9122
! Space-group type   No. 35
! DFT formation energy   0.198 eV/atom

---

Entry 4:
! PBE-GGA ZnCr2Ir, optimized geometry; values from VASP
&SYSTEM
  ibrav = 0, nat = 4, ntyp = 3
/
ATOMIC_SPECIES
Zn 65.41 Zn.upf
Cr 52.00 Cr.upf
Ir 192.22 Ir.upf
ATOMIC_POSITIONS crystal
Zn 0.0000 0.0000 0.0000
Cr 0.5000 0.5000 0.2539
Cr 0.5000 0.5000 0.7461
Ir 0.0000 0.0000 0.5000
CELL_PARAMETERS angstrom
2.6411 0.0000 0.0000
0.0000 2.6411 0.0000
0.0000 0.0000 7.4928
! Space-group type   No. 123
! DFT formation energy   0.049 eV/atom

---

Question: The lowest DFT formation energy belongs to which entry?
Answer: number 1